# 1
LiLa2Cu3Sn4: relaxed, PBE-GGA.

Structure (CIF):
```
data_LiLa2Cu3Sn4
_chemical_formula_sum 'Li1 La2 Cu3 Sn4'
_cell_length_a 4.513
_cell_length_b 4.513
_cell_length_c 10.895
_cell_angle_alpha 90.00
_cell_angle_beta 90.00
_cell_angle_gamma 90.00
_symmetry_space_group_name_H-M 'P -4 m 2'
_symmetry_Int_Tables_number 115
_symmetry_space_group_name_Hall 'P -4 -2'
loop_
_atom_site_label
_atom_site_type_symbol
_atom_site_fract_x
_atom_site_fract_y
_atom_site_fract_z
Li1 Li 0.000 0.000 0.000
La1 La 0.000 0.500 0.755
Cu1 Cu 0.000 0.500 0.366
Cu2 Cu 0.500 0.500 0.000
Sn1 Sn 0.000 0.000 0.500
Sn2 Sn 0.000 0.500 0.130
Sn3 Sn 0.500 0.500 0.500
```

Calculated volume: 221.9 Å³ per cell
DOS at the Fermi energy: 0.37 states/eV/atom
DFT formation energy: -0.499 eV per atom

=====

# 2
Sr2LiLaCu: relaxed, PBE-GGA.

Structure (CIF):
```
data_Sr2LiLaCu
_chemical_formula_sum 'Sr2 Li1 La1 Cu1'
_cell_length_a 6.092
_cell_length_b 6.092
_cell_length_c 5.504
_cell_angle_alpha 90.00
_cell_angle_beta 90.00
_cell_angle_gamma 90.00
_symmetry_space_group_name_H-M 'P 4/m m m'
_symmetry_Int_Tables_number 123
_symmetry_space_group_name_Hall '-P 4 2'
loop_
_atom_site_label
_atom_site_type_symbol
_atom_site_fract_x
_atom_site_fract_y
_atom_site_fract_z
Sr1 Sr 0.000 0.500 0.000
Li1 Li 0.000 0.000 0.500
La1 La 0.500 0.500 0.500
Cu1 Cu 0.500 0.500 0.000
```

Calculated volume: 204.3 Å³ per cell
DOS at the Fermi energy: 0.95 states/eV/atom
DFT formation energy: 0.126 eV per atom
Excess energy over the best structure of this formula in the dataset: 0 meV per atom

=====

# 3
SrLi2LaCu: relaxed, PBE-GGA.

Structure (CIF):
```
data_SrLi2LaCu
_chemical_formula_sum 'Sr1 Li2 La1 Cu1'
_cell_length_a 5.301
_cell_length_b 5.301
_cell_length_c 5.320
_cell_angle_alpha 90.00
_cell_angle_beta 90.00
_cell_angle_gamma 90.00
_symmetry_space_group_name_H-M 'P 4/m m m'
_symmetry_Int_Tables_number 123
_symmetry_space_group_name_Hall '-P 4 2'
loop_
_atom_site_label
_atom_site_type_symbol
_atom_site_fract_x
_atom_site_fract_y
_atom_site_fract_z
Sr1 Sr 0.000 0.000 0.000
Li1 Li 0.000 0.500 0.500
La1 La 0.500 0.500 0.000
Cu1 Cu 0.500 0.500 0.500
```

Calculated volume: 149.5 Å³ per cell
DOS at the Fermi energy: 0.63 states/eV/atom
DFT formation energy: 0.124 eV per atom

=====

> The highest calculated volume belongs to which entry?

LiLa2Cu3Sn4

=====

> Among the records above, which one has the highest DOS at the Fermi energy?

Sr2LiLaCu